Entry a
{
  "formula": "TeHRu2",
  "functional": "GGA-PBE",
  "state": "relaxed",
  "dos_ef_per_ev_atom": 0.7608,
  "vol_a3_per_fu": 55.24,
  "cell": [[0.0000, 3.0229, 3.0229], [3.0229, 0.0000, 3.0229], [3.0229, 3.0229, 0.0000]],
  "species": ["Te", "H", "Ru", "Ru"],
  "fractional_positions": [[0.0000, 0.0000, 0.0000], [0.5000, 0.5000, 0.5000], [0.2500, 0.2500, 0.2500], [0.7500, 0.7500, 0.7500]]
}


Entry b
{
  "formula": "TeHRu2",
  "functional": "GGA-PBE",
  "state": "relaxed",
  "dos_ef_per_ev_atom": 1.1444,
  "vol_a3_per_fu": 58.45,
  "cell": [[-2.4983, 2.4983, 4.6820], [2.4983, -2.4983, 4.6820], [2.4983, 2.4983, -4.6820]],
  "species": ["Te", "Te", "H", "H", "Ru", "Ru", "Ru", "Ru"],
  "fractional_positions": [[0.0000, 0.0000, 0.0000], [0.7500, 0.2500, 0.5000], [0.2500, 0.7500, 0.5000], [0.5000, 0.5000, 0.0000], [0.2644, 0.6250, 0.1394], [0.3750, 0.5144, 0.6394], [0.4856, 0.1250, 0.8606], [0.8750, 0.7356, 0.3606]]
}


Which structure is most stable? entry b, by 0.263 eV/atom over the runner-up.


Entry a
{
  "formula": "TeHRu",
  "functional": "GGA-PBE",
  "state": "relaxed",
  "dos_ef_per_ev_atom": 0.4239,
  "vol_a3_per_fu": 54.64,
  "cell": [[4.2840, 0.0000, 0.0000], [0.0000, 4.2840, 0.0000], [0.0000, 0.0000, 5.9542]],
  "species": ["Te", "Te", "H", "H", "Ru", "Ru"],
  "fractional_positions": [[0.2500, 0.2500, 0.2366], [0.7500, 0.7500, 0.7634], [0.2500, 0.2500, 0.5321], [0.7500, 0.7500, 0.4679], [0.2500, 0.7500, 0.0000], [0.7500, 0.2500, 0.0000]]
}


Entry b
{
  "formula": "TeHRu",
  "functional": "GGA-PBE",
  "state": "relaxed",
  "dos_ef_per_ev_atom": 0.4799,
  "vol_a3_per_fu": 51.84,
  "cell": [[4.1840, -1.5521, 0.0000], [4.1840, 1.5521, 0.0000], [-0.1045, 0.0000, 7.9832]],
  "species": ["Te", "Te", "H", "H", "Ru", "Ru"],
  "fractional_positions": [[0.1329, 0.1329, 0.1613], [0.8671, 0.8671, 0.8387], [0.1468, 0.1468, 0.5608], [0.8532, 0.8532, 0.4392], [0.3709, 0.3709, 0.5707], [0.6291, 0.6291, 0.4293]]
}


Which structure is most stable? entry b, by 0.138 eV/atom over the runner-up.